# 1
{"formula": "CaLaCl", "functional": "PBE-GGA", "state": "optimized geometry", "crystal_system": "tetragonal", "dos_ef_per_ev_fu": 3.26, "total_energy_ev_per_atom": -3.769, "e_form_raw_ev_per_atom": -0.843, "cell": [[-1.780, 1.780, 7.143], [1.780, -1.780, 7.143], [1.780, 1.780, -7.143]], "species": ["Ca", "La", "Cl"], "fractional_positions": [[0.000, 0.000, 0.000], [0.706, 0.706, 0.000], [0.356, 0.356, 0.000]]}

=====

# 2
{"formula": "NbSi2HgO", "functional": "PBE-GGA", "state": "optimized geometry", "crystal_system": "tetragonal", "dos_ef_per_ev_fu": 3.59, "total_energy_ev_per_atom": -4.963, "e_form_raw_ev_per_atom": 0.273, "cell": [[4.020, 0.000, 0.000], [0.000, 4.020, 0.000], [0.000, 0.000, 4.922]], "species": ["Nb", "Si", "Si", "Hg", "O"], "fractional_positions": [[0.000, 0.000, 0.000], [0.000, 0.500, 0.500], [0.500, 0.000, 0.500], [0.500, 0.500, 0.000], [0.500, 0.500, 0.500]]}

=====

# 3
{"formula": "Cs4Tl5Bi3", "functional": "PBE-GGA", "state": "optimized geometry", "crystal_system": "monoclinic", "dos_ef_per_ev_fu": 5.65, "total_energy_ev_per_atom": -2.387, "cell": [[7.066, -3.021, 0.000], [7.066, 3.021, 0.000], [-6.801, 0.000, 13.136]], "species": ["Cs", "Cs", "Cs", "Cs", "Tl", "Tl", "Tl", "Tl", "Tl", "Bi", "Bi", "Bi"], "fractional_positions": [[0.159, 0.159, 0.499], [0.175, 0.175, 0.854], [0.825, 0.825, 0.146], [0.841, 0.841, 0.501], [0.000, 0.000, 0.000], [0.416, 0.416, 0.759], [0.444, 0.444, 0.379], [0.556, 0.556, 0.621], [0.584, 0.584, 0.241], [0.204, 0.204, 0.251], [0.500, 0.500, 0.000], [0.796, 0.796, 0.749]]}

=====

# 4
{"formula": "KSiTe", "functional": "PBE-GGA", "state": "optimized geometry", "crystal_system": "orthorhombic", "dos_ef_per_ev_fu": 1.90, "total_energy_ev_per_atom": -3.326, "e_form_raw_ev_per_atom": -0.105, "cell": [[0.000, 2.712, 6.070], [2.698, 0.000, 6.070], [2.698, 2.712, 0.000]], "species": ["K", "Si", "Te"], "fractional_positions": [[0.000, 0.000, 0.000], [0.293, 0.293, 0.707], [0.714, 0.714, 0.286]]}

=====

# 5
{"formula": "Pm2Ga2Ag", "functional": "PBE-GGA", "state": "optimized geometry", "crystal_system": "monoclinic", "dos_ef_per_ev_fu": 3.38, "total_energy_ev_per_atom": -4.204, "cell": [[5.443, -2.278, 0.000], [5.443, 2.278, 0.000], [-5.184, 0.000, 9.634]], "species": ["Pm", "Pm", "Pm", "Pm", "Ga", "Ga", "Ga", "Ga", "Ag", "Ag"], "fractional_positions": [[0.015, 0.015, 0.328], [0.186, 0.186, 0.107], [0.814, 0.814, 0.893], [0.985, 0.985, 0.672], [0.367, 0.367, 0.436], [0.475, 0.475, 0.108], [0.525, 0.525, 0.892], [0.633, 0.633, 0.564], [0.274, 0.274, 0.651], [0.726, 0.726, 0.349]]}

=====

# 6
{"formula": "ErAl8Pd4", "functional": "PBE-GGA", "state": "optimized geometry", "crystal_system": "tetragonal", "dos_ef_per_ev_fu": 3.40, "total_energy_ev_per_atom": -4.965, "cell": [[-4.413, 4.413, 2.719], [4.413, -4.413, 2.719], [4.413, 4.413, -2.719]], "species": ["Er", "Al", "Al", "Al", "Al", "Al", "Al", "Al", "Al", "Pd", "Pd", "Pd", "Pd"], "fractional_positions": [[0.000, 0.000, 0.000], [0.000, 0.348, 0.348], [0.000, 0.652, 0.652], [0.280, 0.500, 0.780], [0.348, 0.000, 0.348], [0.500, 0.280, 0.780], [0.500, 0.720, 0.220], [0.652, 0.000, 0.652], [0.720, 0.500, 0.220], [0.000, 0.000, 0.500], [0.000, 0.500, 0.000], [0.500, 0.000, 0.000], [0.500, 0.500, 0.500]]}

=====

# 7
{"formula": "Tb2Tm5Fe2", "functional": "PBE-GGA", "state": "optimized geometry", "crystal_system": "orthorhombic", "dos_ef_per_ev_fu": 12.82, "total_energy_ev_per_atom": -5.371, "cell": [[9.820, -3.471, 0.000], [9.820, 3.471, 0.000], [0.000, 0.000, 6.902]], "species": ["Tb", "Tb", "Tb", "Tb", "Tm", "Tm", "Tm", "Tm", "Tm", "Tm", "Tm", "Tm", "Tm", "Tm", "Fe", "Fe", "Fe", "Fe"], "fractional_positions": [[0.233, 0.233, 0.000], [0.267, 0.267, 0.500], [0.733, 0.733, 0.500], [0.767, 0.767, 0.000], [0.000, 0.000, 0.000], [0.075, 0.712, 0.679], [0.212, 0.575, 0.179], [0.288, 0.925, 0.679], [0.425, 0.788, 0.179], [0.500, 0.500, 0.500], [0.575, 0.212, 0.821], [0.712, 0.075, 0.321], [0.788, 0.425, 0.821], [0.925, 0.288, 0.321], [0.111, 0.889, 0.393], [0.389, 0.611, 0.893], [0.611, 0.389, 0.107], [0.889, 0.111, 0.607]]}

=====

# 8
{"formula": "TaCoPd", "functional": "PBE-GGA", "state": "optimized geometry", "crystal_system": "orthorhombic", "dos_ef_per_ev_fu": 2.76, "total_energy_ev_per_atom": -8.297, "cell": [[4.500, 0.000, 0.000], [0.000, 2.261, 4.331], [0.000, -2.261, 4.331]], "species": ["Ta", "Ta", "Co", "Co", "Pd", "Pd"], "fractional_positions": [[0.250, 0.241, 0.759], [0.750, 0.759, 0.241], [0.250, 0.866, 0.404], [0.750, 0.404, 0.866], [0.250, 0.547, 0.086], [0.750, 0.086, 0.547]]}

=====

# 9
{"formula": "AlTl2Hg", "functional": "PBE-GGA", "state": "optimized geometry", "crystal_system": "monoclinic", "dos_ef_per_ev_fu": 1.40, "total_energy_ev_per_atom": -2.061, "cell": [[3.691, 0.000, 0.000], [0.000, 4.695, 0.000], [-1.740, 0.000, 6.164]], "species": ["Al", "Tl", "Tl", "Hg"], "fractional_positions": [[0.000, 0.000, 0.000], [0.399, 0.500, 0.797], [0.733, 0.000, 0.474], [0.122, 0.500, 0.253]]}

=====

# 10
{"formula": "Pu2MnBe", "functional": "PBE-GGA", "state": "optimized geometry", "crystal_system": "trigonal", "dos_ef_per_ev_fu": 6.80, "total_energy_ev_per_atom": -9.629, "cell": [[1.293, 0.747, 10.909], [-1.293, 0.747, 10.909], [0.000, -1.494, 10.909]], "species": ["Pu", "Pu", "Mn", "Be"], "fractional_positions": [[0.088, 0.088, 0.088], [0.912, 0.912, 0.912], [0.500, 0.500, 0.500], [0.000, 0.000, 0.000]]}

=====

# 11
{"formula": "Ba2ZrTcB", "functional": "PBE-GGA", "state": "optimized geometry", "crystal_system": "tetragonal", "dos_ef_per_ev_fu": 5.94, "total_energy_ev_per_atom": -4.221, "cell": [[6.471, 0.000, 0.000], [0.000, 6.471, 0.000], [0.000, 0.000, 4.636]], "species": ["Ba", "Ba", "Zr", "Tc", "B"], "fractional_positions": [[0.000, 0.500, 0.000], [0.500, 0.000, 0.000], [0.000, 0.000, 0.000], [0.000, 0.000, 0.500], [0.500, 0.500, 0.500]]}

=====

# 12
{"formula": "GaSbOsPt2", "functional": "PBE-GGA", "state": "optimized geometry", "crystal_system": "tetragonal", "dos_ef_per_ev_fu": 3.38, "total_energy_ev_per_atom": -5.247, "e_form_raw_ev_per_atom": 0.845, "cell": [[4.648, 0.000, 0.000], [0.000, 4.648, 0.000], [0.000, 0.000, 4.647]], "species": ["Ga", "Sb", "Os", "Pt", "Pt"], "fractional_positions": [[0.000, 0.000, 0.000], [0.500, 0.500, 0.500], [0.000, 0.000, 0.500], [0.000, 0.500, 0.000], [0.500, 0.000, 0.000]]}